PaCo2SiO6 GGA+U optimized geometry; D(E_F) = 3.8 states/eV/cell; DFT total energy = -7.44 eV per atom; SG = P4mm, No. 99; volume = 13.2 A^3/atom
1.0
-1.608 -3.448 2.178
-0.176 -2.871 -4.676
5.104 -1.803 0.915
Pa Co Si O
1 2 1 6
Cartesian
1.434 -4.545 -0.486
-1.585 -4.645 -0.311
1.055 -4.111 2.484
-0.987 -2.115 1.336
-0.080 -3.556 0.755
2.757 -4.558 1.263
2.202 -2.899 -1.526
-0.398 -0.853 0.539
2.659 -6.154 -1.336
-0.178 -5.152 -1.844